Record 1
Entry from the Alexandria database: a geometry-optimized Cu12S5Cl3 structure (PBE-GGA).

Unit cell a=12.1848 b=12.1848 c=12.1848 alpha=109.47 beta=109.47 gamma=109.47
Closest atoms and distances in Å follow each position.
Sites, in units of the cell vectors:
1 Cl 0.7500 0.3750 0.1250  4 Cu 2.58
2 Cl 0.8750 0.7500 0.1250  4 Cu 2.58
3 Cl 0.3750 0.7500 0.6250  4 Cu 2.58
4 Cl 0.2500 0.1250 0.3750  4 Cu 2.58
5 Cl 0.8750 0.1250 0.2500  4 Cu 2.58
6 Cl 0.3750 0.6250 0.2500  4 Cu 2.58
7 Cl 0.6250 0.3750 0.7500  4 Cu 2.58
8 Cl 0.1250 0.8750 0.7500  4 Cu 2.58
9 Cl 0.7500 0.8750 0.6250  4 Cu 2.58
10 Cl 0.6250 0.2500 0.3750  4 Cu 2.58
11 Cl 0.1250 0.2500 0.8750  4 Cu 2.58
12 Cl 0.2500 0.6250 0.8750  4 Cu 2.58
13 S 0.1250 0.3750 0.2500  4 Cu 2.20
14 S 0.0000 0.5000 0.0000  6 Cu 2.26
15 S 0.0000 0.0000 0.0000  6 Cu 2.26
16 S 0.3750 0.2500 0.1250  4 Cu 2.20
17 S 0.5000 0.0000 0.5000  6 Cu 2.26
18 S 0.5000 0.5000 0.0000  6 Cu 2.26
19 S 0.1250 0.7500 0.3750  4 Cu 2.20
20 S 0.7500 0.1250 0.8750  4 Cu 2.20
21 S 0.7500 0.6250 0.3750  4 Cu 2.20
22 S 0.3750 0.1250 0.7500  4 Cu 2.20
23 S 0.6250 0.8750 0.2500  4 Cu 2.20
24 S 0.5000 0.5000 0.5000  6 Cu 2.26
25 S 0.5000 0.0000 0.0000  6 Cu 2.26
26 S 0.0000 0.0000 0.5000  6 Cu 2.26
27 S 0.2500 0.3750 0.6250  4 Cu 2.20
28 S 0.2500 0.8750 0.1250  4 Cu 2.20
29 S 0.0000 0.5000 0.5000  6 Cu 2.26
30 S 0.8750 0.2500 0.6250  4 Cu 2.20
31 S 0.6250 0.7500 0.8750  4 Cu 2.20
32 S 0.8750 0.6250 0.7500  4 Cu 2.20
33 Cu 0.7082 0.0893 0.0263  2 S 2.20-2.26
34 Cu 0.3181 0.5263 0.4370  2 S 2.20-2.26
35 Cu 0.9737 0.4107 0.2918  2 S 2.20-2.26
36 Cu 0.5263 0.2082 0.0893  2 S 2.20-2.26
37 Cu 0.6189 0.7082 0.6819  2 S 2.20-2.26
38 Cu 0.9737 0.5630 0.1819  2 S 2.20-2.26
39 Cu 0.3181 0.7918 0.3811  2 S 2.20-2.26
40 Cu 0.0630 0.8811 0.0893  2 S 2.20-2.26
41 Cu 0.5630 0.9737 0.6819  2 S 2.20-2.26
42 Cu 0.7082 0.6189 0.1819  2 S 2.20-2.26
43 Cu 0.7918 0.4737 0.4107  2 S 2.20-2.26
44 Cu 0.8181 0.9370 0.0263  2 S 2.20-2.26
45 Cu 0.0893 0.7082 0.5263  2 S 2.20-2.26
46 Cu 0.4107 0.4370 0.1189  2 S 2.20-2.26
47 Cu 0.1189 0.9370 0.4107  2 S 2.20-2.26
48 Cu 0.3811 0.0893 0.5630  2 S 2.20-2.26
49 Cu 0.1189 0.1819 0.2082  2 S 2.20-2.26
50 Cu 0.4737 0.6819 0.0630  2 S 2.20-2.26
51 Cu 0.8181 0.8811 0.2918  2 S 2.20-2.26
52 Cu 0.0893 0.3811 0.0630  2 S 2.20-2.26
53 Cu 0.4107 0.9737 0.7918  2 S 2.20-2.26
54 Cu 0.5630 0.5893 0.3811  2 S 2.20-2.26
55 Cu 0.9370 0.8181 0.5263  2 S 2.20-2.26
56 Cu 0.7918 0.3181 0.8811  2 S 2.20-2.26
57 Cu 0.4370 0.4107 0.6189  2 S 2.20-2.26
58 Cu 0.0630 0.1819 0.4737  2 S 2.20-2.26
59 Cu 0.2082 0.6819 0.1189  2 S 2.20-2.26
60 Cu 0.1819 0.1189 0.7082  2 S 2.20-2.26
61 Cu 0.5893 0.0263 0.2082  2 S 2.20-2.26
62 Cu 0.9107 0.6189 0.9370  2 S 2.20-2.26
63 Cu 0.5263 0.3181 0.9370  2 S 2.20-2.26
64 Cu 0.6189 0.9107 0.4370  2 S 2.20-2.26
65 Cu 0.8811 0.8181 0.7918  2 S 2.20-2.26
66 Cu 0.8811 0.0630 0.5893  2 S 2.20-2.26
67 Cu 0.9107 0.2918 0.4737  2 S 2.20-2.26
68 Cu 0.1819 0.0630 0.9737  2 S 2.20-2.26
69 Cu 0.5893 0.5630 0.8811  2 S 2.20-2.26
70 Cu 0.4370 0.0263 0.3181  2 S 2.20-2.26
71 Cu 0.2918 0.3811 0.8181  2 S 2.20-2.26
72 Cu 0.2082 0.5263 0.5893  2 S 2.20-2.26
73 Cu 0.9370 0.1189 0.9107  2 S 2.20-2.26
74 Cu 0.6819 0.2082 0.6189  2 S 2.20-2.26
75 Cu 0.4737 0.7918 0.9107  2 S 2.20-2.26
76 Cu 0.0263 0.4370 0.8181  2 S 2.20-2.26
77 Cu 0.3811 0.2918 0.3181  2 S 2.20-2.26
78 Cu 0.0263 0.5893 0.7082  2 S 2.20-2.26
79 Cu 0.6819 0.4737 0.5630  2 S 2.20-2.26
80 Cu 0.2918 0.9107 0.9737  2 S 2.20-2.26

The raw formation energy comes out at -151 kJ/mol of formula units. Its symmetry is Ia-3d, No. 230.

Record 2
Entry from the Alexandria database: a geometry-optimized LiPbSe2Br structure (PBE-GGA).

Unit cell a=4.6673 b=4.6673 c=5.6790 alpha=90.00 beta=90.00 gamma=90.00
Closest atoms and distances in Å follow each position.
Sites, in units of the cell vectors:
1 Pb 0.5000 0.5000 0.5000  4 Br 3.30, 8 Se 3.68
2 Se 0.0000 0.5000 0.0000  2 Li 2.33
3 Se 0.5000 0.0000 0.0000  2 Li 2.33
4 Br 0.0000 0.0000 0.5000  2 Li 2.84
5 Li 0.0000 0.0000 0.0000  4 Se 2.33

The raw formation energy comes out at -150 kJ/mol of formula units. For the excess energy over the best structure of this formula in the dataset, the calculation gives 0 meV per atom. Its symmetry is P4/mmm, No. 123.

Record 3
Entry from the Alexandria database: a geometry-optimized ErMg2SnRh4 structure (PBE-GGA).

Unit cell a=4.5497 b=4.5497 c=7.8778 alpha=73.22 beta=73.22 gamma=60.00
Closest atoms and distances in Å follow each position.
Sites, in units of the cell vectors:
1 Er 0.0000 0.0000 0.0000  8 Rh 2.82-2.85
2 Mg 0.7501 0.7501 0.7498  8 Rh 2.71-2.87
3 Mg 0.2499 0.2499 0.2502  8 Rh 2.71-2.87
4 Sn 0.5000 0.5000 0.5000  8 Rh 2.70-2.76
5 Rh 0.3789 0.3789 0.8632  1 Sn 2.70, 4 Mg 2.76-2.87, 3 Er 2.82
6 Rh 0.8719 0.8719 0.3842  4 Mg 2.71-2.81, 3 Sn 2.76, 1 Er 2.85
7 Rh 0.1281 0.1281 0.6158  4 Mg 2.71-2.81, 3 Sn 2.76, 1 Er 2.85
8 Rh 0.6211 0.6211 0.1368  1 Sn 2.70, 4 Mg 2.76-2.87, 3 Er 2.82

Its formation energy is -0.72 eV/atom. Its symmetry is R-3m, No. 166.

Record 4
Entry from the Alexandria database: a geometry-optimized Sr5OsN6 structure (PBE-GGA).

Unit cell a=6.1270 b=6.2041 c=6.2391 alpha=60.19 beta=80.55 gamma=70.71
Closest atoms and distances in Å follow each position.
Sites, in units of the cell vectors:
1 Sr 0.5000 0.1596 0.6808  4 N 2.50-2.52
2 Sr 0.0000 0.3335 0.3331  6 N 2.58-2.61
3 Sr 0.5000 0.5000 0.0000  4 N 2.55
4 Sr 0.0000 0.6665 0.6669  6 N 2.58-2.61
5 Sr 0.5000 0.8404 0.3192  4 N 2.50-2.52
6 Os 0.0000 0.0000 0.0000  6 N 2.06-2.10
7 N 0.7923 0.0693 0.2683  1 Os 2.06
8 N 0.2077 0.6625 0.2683  1 Os 2.06
9 N 0.2115 0.2066 0.0000  1 Os 2.10
10 N 0.7885 0.7934 0.0000  1 Os 2.10
11 N 0.7923 0.3375 0.7317  1 Os 2.06
12 N 0.2077 0.9307 0.7317  1 Os 2.06

The raw formation energy comes out at -338 kJ/mol of formula units. Its symmetry is C2/m, No. 12.

Record 5
Entry from the Alexandria database: a geometry-optimized Hf4Hg2H structure (PBE-GGA).

Unit cell a=4.1611 b=4.1611 c=8.2979 alpha=75.48 beta=75.48 gamma=90.00
Closest atoms and distances in Å follow each position.
Sites, in units of the cell vectors:
1 H 0.0000 0.0000 0.0000  4 Hf 2.08
2 Hf 0.1774 0.1774 0.6452  1 H 2.75, 5 Hg 2.83-3.00
3 Hf 0.8226 0.8226 0.3548  1 H 2.75, 5 Hg 2.83-3.00
4 Hf 0.0000 0.5000 0.0000  2 H 2.08
5 Hf 0.5000 0.0000 0.0000  2 H 2.08
6 Hg 0.3599 0.3599 0.2802  9 Hf 2.83-3.01
7 Hg 0.6401 0.6401 0.7198  9 Hf 2.83-3.01

The calculation puts the raw total energy at -0.230 hartree per atom. Its symmetry is I4/mmm, No. 139.

Record 6
Entry from the Alexandria database: a geometry-optimized Na2MnAlSe4 structure (PBE-GGA).

Unit cell a=6.9300 b=6.9237 c=6.6509 alpha=125.02 beta=125.05 gamma=84.13
Closest atoms and distances in Å follow each position.
Sites, in units of the cell vectors:
1 Na 0.5190 0.0190 0.0379  6 Se 3.08-3.25
2 Na 0.2951 0.2951 0.5901  4 Se 2.87-3.00
3 Mn 0.7381 0.7381 0.4763  4 Se 2.42-2.44
4 Al 0.9785 0.4785 0.9570  4 Se 2.42
5 Se 0.6321 0.5633 0.6426  1 Al 2.42, 1 Mn 2.42
6 Se 0.8767 0.4172 0.2138  1 Al 2.42, 1 Mn 2.44
7 Se 0.3372 0.7966 0.2138  1 Al 2.42, 1 Mn 2.44
8 Se 0.0104 0.0792 0.6425  1 Al 2.42, 1 Mn 2.42

The raw formation energy comes out at -645 kJ/mol of formula units. Its symmetry is C2, No. 5.

Record 7
Entry from the Alexandria database: a geometry-optimized RbBa2LiRu structure (PBE-GGA).

Unit cell a=6.2734 b=5.7393 c=6.2734 alpha=90.00 beta=90.00 gamma=90.00
Closest atoms and distances in Å follow each position.
Sites, in units of the cell vectors:
1 Ru 0.5000 0.5000 0.5000  8 Ba 4.25, 4 Rb 4.44
2 Ba 0.0000 0.0000 0.5000  2 Li 3.14
3 Ba 0.5000 0.0000 0.0000  2 Li 3.14
4 Rb 0.0000 0.5000 0.0000  2 Li 2.87
5 Li 0.0000 0.0000 0.0000  2 Rb 2.87, 4 Ba 3.14

Its formation energy is 1.10 eV/atom. Its symmetry is P4/mmm, No. 123.

Record 8
Entry from the Alexandria database: a geometry-optimized Be4Te3 structure (PBE-GGA).

Unit cell a=5.4127 b=5.4127 c=5.4127 alpha=90.00 beta=90.00 gamma=90.00
Closest atoms and distances in Å follow each position.
Sites, in units of the cell vectors:
1 Be 0.2322 0.7678 0.2322  3 Te 2.40
2 Be 0.7678 0.2322 0.2322  3 Te 2.40
3 Be 0.7678 0.7678 0.7678  3 Te 2.40
4 Be 0.2322 0.2322 0.7678  3 Te 2.40
5 Te 0.5000 0.0000 0.5000  4 Be 2.40
6 Te 0.5000 0.5000 0.0000  4 Be 2.40
7 Te 0.0000 0.5000 0.5000  4 Be 2.40

The raw formation energy comes out at 129 kJ/mol of formula units. For the excess energy over the best structure of this formula in the dataset, the calculation gives 0 meV per atom. Its symmetry is P-43m, No. 215.

Record 9
Entry from the Alexandria database: a geometry-optimized Sc3AgO structure (PBE-GGA).

Unit cell a=4.4169 b=4.4169 c=4.4169 alpha=90.00 beta=90.00 gamma=90.00
Closest atoms and distances in Å follow each position.
Sites, in units of the cell vectors:
1 Sc 0.0000 0.5000 0.0000  2 O 2.21
2 Sc 0.0000 0.0000 0.5000  2 O 2.21
3 Sc 0.5000 0.0000 0.0000  2 O 2.21
4 O 0.0000 0.0000 0.0000  6 Sc 2.21
5 Ag 0.5000 0.5000 0.5000  12 Sc 3.12

The raw formation energy comes out at -643 kJ/mol of formula units. For the excess energy over the best structure of this formula in the dataset, the calculation gives 33 meV per atom. Its symmetry is Pm-3m, No. 221.

Record 10
Entry from the Alexandria database: a geometry-optimized Li2TaHg structure (PBE-GGA).

Unit cell a=5.0652 b=5.0652 c=5.4201 alpha=83.12 beta=83.12 gamma=31.75
Closest atoms and distances in Å follow each position.
Sites, in units of the cell vectors:
1 Hg 0.7446 0.7446 0.7416  2 Hg 2.77, 3 Ta 2.86-2.91, 4 Li 2.91-2.95
2 Li 0.0106 0.0106 0.0158  5 Li 2.72-2.97, 2 Hg 2.91, 2 Ta 3.04
3 Li 0.2516 0.2516 0.2212  5 Li 2.72-2.97, 2 Hg 2.95, 1 Ta 3.02
4 Ta 0.4931 0.4931 0.5213  2 Ta 2.77, 3 Hg 2.86-2.91, 5 Li 3.02-3.06

Its formation energy is 0.32 eV/atom. Its symmetry is Cm, No. 8.

Record 11
Entry from the Alexandria database: a geometry-optimized Y3HfBi structure (PBE-GGA).

Unit cell a=5.5443 b=5.5443 c=5.5443 alpha=90.00 beta=90.00 gamma=90.00
Closest atoms and distances in Å follow each position.
Sites, in units of the cell vectors:
1 Y 0.0000 0.5000 0.0000  2 Hf 2.77
2 Y 0.0000 0.0000 0.5000  2 Hf 2.77
3 Y 0.5000 0.0000 0.0000  2 Hf 2.77
4 Hf 0.0000 0.0000 0.0000  6 Y 2.77
5 Bi 0.5000 0.5000 0.5000  12 Y 3.92

Its formation energy is 0.51 eV/atom. For the excess energy over the best structure of this formula in the dataset, the calculation gives 0 meV per atom. Its symmetry is Pm-3m, No. 221.